The following is a DFT calculation (GGA-PBE) of a geometry-optimized Sr2Bi2Cl structure. Values from VASP.

```
&SYSTEM
  ibrav = 0, nat = 5, ntyp = 3
/
ATOMIC_SPECIES
Sr 87.62 Sr.upf
Bi 208.98 Bi.upf
Cl 35.45 Cl.upf
ATOMIC_POSITIONS crystal
Sr 0.612 0.612 0.777
Bi 0.750 0.250 0.500
Cl 0.000 0.000 0.000
Sr 0.388 0.388 0.223
Bi 0.250 0.750 0.500
CELL_PARAMETERS angstrom
4.664 0.000 0.000
0.000 4.664 0.000
2.332 2.332 8.963
```

Computed properties:
**D(E_F)**: 1.67 states/eV/f.u.
**Formation energy without anion corrections**: -870.3 meV/atom
**Relative energy among the computed polymorphs**: 239 meV/atom


The following is a DFT calculation (GGA-PBE) of a geometry-optimized Sr5Bi3Cl structure. Values from VASP.

```
&SYSTEM
  ibrav = 0, nat = 18, ntyp = 3
/
ATOMIC_SPECIES
Sr 87.62 Sr.upf
Cl 35.45 Cl.upf
Bi 208.98 Bi.upf
ATOMIC_POSITIONS crystal
Sr 0.796 0.970 0.266
Sr 0.704 0.204 0.734
Cl 0.750 0.250 0.500
Sr 0.030 0.530 0.734
Sr 0.204 0.030 0.734
Sr 0.296 0.796 0.266
Bi 0.647 0.147 0.000
Sr 0.970 0.470 0.266
Cl 0.250 0.750 0.500
Bi 0.147 0.353 0.000
Bi 0.250 0.250 0.500
Sr 0.500 0.500 0.000
Bi 0.750 0.750 0.500
Bi 0.853 0.647 0.000
Sr 0.470 0.296 0.266
Sr 0.530 0.704 0.734
Bi 0.353 0.853 0.000
Sr 0.000 0.000 0.000
CELL_PARAMETERS angstrom
-9.006 -0.095 -1.978
1.583 -5.878 -6.926
2.671 -3.227 9.488
```

Computed properties:
**D(E_F)**: 0.39 states/eV/f.u.
**Formation energy without anion corrections**: -1140.7 meV/atom


The following is a DFT calculation (GGA-PBE) of a geometry-optimized SrBiCl6 structure. Values from VASP.

```
&SYSTEM
  ibrav = 0, nat = 8, ntyp = 3
/
ATOMIC_SPECIES
Cl 35.45 Cl.upf
Sr 87.62 Sr.upf
Bi 208.98 Bi.upf
ATOMIC_POSITIONS crystal
Cl 0.594 0.227 0.239
Cl 0.227 0.940 0.239
Cl 0.060 0.406 0.761
Cl 0.940 0.594 0.239
Sr 0.500 0.500 0.500
Cl 0.773 0.060 0.761
Bi 0.000 0.000 0.000
Cl 0.406 0.773 0.761
CELL_PARAMETERS angstrom
6.838 0.009 0.011
3.412 5.923 0.012
3.410 1.970 6.360
```

Computed properties:
**D(E_F)**: 5.44 states/eV/f.u.
**Formation energy without anion corrections**: -1309.4 meV/atom


The following is a DFT calculation (GGA-PBE) of a geometry-optimized SrBiCl structure. Values from VASP.

```
&SYSTEM
  ibrav = 0, nat = 6, ntyp = 3
/
ATOMIC_SPECIES
Cl 35.45 Cl.upf
Sr 87.62 Sr.upf
Bi 208.98 Bi.upf
ATOMIC_POSITIONS crystal
Cl 0.626 0.252 0.884
Cl 0.374 0.748 0.116
Sr 0.725 0.450 0.203
Bi 0.854 0.708 0.551
Bi 0.146 0.292 0.449
Sr 0.275 0.550 0.797
CELL_PARAMETERS angstrom
-4.519 -0.779 -2.007
4.035 -2.934 -1.703
-2.912 -4.495 8.303
```

Computed properties:
**D(E_F)**: 0.52 states/eV/f.u.
**Formation energy without anion corrections**: -1421.0 meV/atom


The following is a DFT calculation (GGA-PBE) of a geometry-optimized SrTl2BiCl6 structure. Values from VASP.

```
&SYSTEM
  ibrav = 0, nat = 10, ntyp = 4
/
ATOMIC_SPECIES
Cl 35.45 Cl.upf
Bi 208.98 Bi.upf
Tl 204.38 Tl.upf
Sr 87.62 Sr.upf
ATOMIC_POSITIONS crystal
Cl 0.319 0.324 0.180
Cl 0.731 0.183 0.852
Bi 0.000 0.000 0.999
Tl 0.734 0.190 0.480
Tl 0.264 0.813 0.521
Cl 0.682 0.675 0.819
Cl 0.269 0.818 0.148
Cl 0.204 0.245 0.623
Cl 0.796 0.756 0.377
Sr 0.500 0.500 0.000
CELL_PARAMETERS angstrom
-4.909 -2.709 3.916
4.989 -5.587 1.967
1.356 7.823 2.872
```

Computed properties:
**Formation energy without anion corrections**: -1322.7 meV/atom


The following is a DFT calculation (GGA-PBE) of a geometry-optimized SrYBi2Cl structure. Values from VASP.

```
&SYSTEM
  ibrav = 0, nat = 5, ntyp = 4
/
ATOMIC_SPECIES
Bi 208.98 Bi.upf
Sr 87.62 Sr.upf
Y 88.91 Y.upf
Cl 35.45 Cl.upf
ATOMIC_POSITIONS crystal
Bi 0.000 0.000 0.500
Sr 0.500 0.500 0.500
Y 0.000 0.500 0.000
Cl 0.000 0.000 0.000
Bi 0.500 0.000 0.000
CELL_PARAMETERS angstrom
-2.183 5.554 0.841
-2.115 -1.466 4.191
4.984 1.498 3.039
```

Computed properties:
**D(E_F)**: 4.21 states/eV/f.u.
**Formation energy without anion corrections**: -380.2 meV/atom


The following is a DFT calculation (GGA-PBE) of a geometry-optimized TaBi2Cl structure. Values from VASP.

```
&SYSTEM
  ibrav = 0, nat = 4, ntyp = 3
/
ATOMIC_SPECIES
Ta 180.95 Ta.upf
Bi 208.98 Bi.upf
Cl 35.45 Cl.upf
ATOMIC_POSITIONS crystal
Ta 0.500 0.500 0.500
Bi 0.750 0.750 0.750
Cl 0.000 0.000 0.000
Bi 0.250 0.250 0.250
CELL_PARAMETERS angstrom
1.762 2.367 4.272
-2.618 4.004 2.016
-2.525 -0.552 4.503
```

Computed properties:
**D(E_F)**: 3.61 states/eV/f.u.
**Formation energy without anion corrections**: 569.3 meV/atom
**Relative energy among the computed polymorphs**: 0 meV/atom


The following is a DFT calculation (GGA-PBE) of a geometry-optimized TaBi2Cl structure. Values from VASP.

```
&SYSTEM
  ibrav = 0, nat = 8, ntyp = 3
/
ATOMIC_SPECIES
Bi 208.98 Bi.upf
Ta 180.95 Ta.upf
Cl 35.45 Cl.upf
ATOMIC_POSITIONS crystal
Bi 0.070 0.625 0.250
Bi 0.875 0.930 0.750
Ta 0.000 0.000 0.000
Cl 0.500 0.500 0.000
Cl 0.250 0.750 0.500
Bi 0.680 0.125 0.250
Ta 0.750 0.250 0.500
Bi 0.375 0.320 0.750
CELL_PARAMETERS angstrom
6.644 0.000 0.000
0.000 6.644 0.000
3.322 3.322 6.917
```

Computed properties:
**D(E_F)**: 2.33 states/eV/f.u.
**Formation energy without anion corrections**: 626.9 meV/atom
**Relative energy among the computed polymorphs**: 58 meV/atom


The following is a DFT calculation (GGA-PBE) of a geometry-optimized TaBiCl2 structure. Values from VASP.

```
&SYSTEM
  ibrav = 0, nat = 8, ntyp = 3
/
ATOMIC_SPECIES
Ta 180.95 Ta.upf
Cl 35.45 Cl.upf
Bi 208.98 Bi.upf
ATOMIC_POSITIONS crystal
Ta 0.250 0.750 0.500
Cl 0.875 0.750 0.750
Bi 0.000 0.000 0.000
Cl 0.500 0.125 0.250
Cl 0.375 0.500 0.750
Cl 0.250 0.625 0.250
Ta 0.500 0.500 0.000
Bi 0.750 0.250 0.500
CELL_PARAMETERS angstrom
8.650 0.000 0.000
0.000 8.650 0.000
4.325 4.325 2.797
```

Computed properties:
**D(E_F)**: 4.41 states/eV/f.u.
**Formation energy without anion corrections**: -35.4 meV/atom
**Relative energy among the computed polymorphs**: 422 meV/atom


The following is a DFT calculation (GGA-PBE) of a geometry-optimized TaBiCl2 structure. Values from VASP.

```
&SYSTEM
  ibrav = 0, nat = 4, ntyp = 3
/
ATOMIC_SPECIES
Cl 35.45 Cl.upf
Bi 208.98 Bi.upf
Ta 180.95 Ta.upf
ATOMIC_POSITIONS crystal
Cl 0.884 0.884 0.884
Bi 0.000 0.000 0.000
Ta 0.500 0.500 0.500
Cl 0.116 0.116 0.116
CELL_PARAMETERS angstrom
1.843 0.000 11.629
-0.922 1.596 11.629
-0.922 -1.596 11.629
```

Computed properties:
**D(E_F)**: 2.00 states/eV/f.u.
**Formation energy without anion corrections**: -457.1 meV/atom
**Relative energy among the computed polymorphs**: 0 meV/atom


The following is a DFT calculation (GGA-PBE) of a geometry-optimized TaZn2BiCl structure. Values from VASP.

```
&SYSTEM
  ibrav = 0, nat = 5, ntyp = 4
/
ATOMIC_SPECIES
Cl 35.45 Cl.upf
Bi 208.98 Bi.upf
Zn 65.41 Zn.upf
Ta 180.95 Ta.upf
ATOMIC_POSITIONS crystal
Cl 0.500 0.500 0.500
Bi 0.000 0.500 0.000
Zn 0.500 0.000 0.000
Ta 0.000 0.000 0.000
Zn 0.000 0.000 0.500
CELL_PARAMETERS angstrom
5.324 0.000 0.000
0.000 5.369 0.000
0.000 0.000 5.324
```

Computed properties:
**D(E_F)**: 5.33 states/eV/f.u.
**Formation energy without anion corrections**: 657.0 meV/atom


The following is a DFT calculation (GGA-PBE) of a geometry-optimized Tb2BiCl structure. Values from VASP.

```
&SYSTEM
  ibrav = 0, nat = 4, ntyp = 3
/
ATOMIC_SPECIES
Tb 158.93 Tb.upf
Bi 208.98 Bi.upf
Cl 35.45 Cl.upf
ATOMIC_POSITIONS crystal
Tb 0.902 0.902 0.293
Bi 0.000 0.000 0.000
Cl 0.500 0.500 0.500
Tb 0.098 0.098 0.707
CELL_PARAMETERS angstrom
3.539 0.000 0.000
1.769 3.065 0.000
1.769 1.022 10.625
```

Computed properties:
**D(E_F)**: 2.38 states/eV/f.u.
**Formation energy without anion corrections**: -616.8 meV/atom


The following is a DFT calculation (GGA-PBE) of a geometry-optimized TbBiCl6 structure. Values from VASP.

```
&SYSTEM
  ibrav = 0, nat = 8, ntyp = 3
/
ATOMIC_SPECIES
Bi 208.98 Bi.upf
Cl 35.45 Cl.upf
Tb 158.93 Tb.upf
ATOMIC_POSITIONS crystal
Bi 0.500 0.500 0.500
Cl 0.754 0.090 0.753
Cl 0.090 0.403 0.753
Cl 0.246 0.910 0.247
Tb 0.000 0.000 0.000
Cl 0.597 0.246 0.247
Cl 0.403 0.754 0.753
Cl 0.910 0.597 0.247
CELL_PARAMETERS angstrom
6.775 0.009 0.008
3.380 5.872 0.012
3.377 1.952 6.181
```

Computed properties:
**D(E_F)**: 0.00 states/eV/f.u.
**Formation energy without anion corrections**: -1601.9 meV/atom
**Relative energy among the computed polymorphs**: 4 meV/atom